Record 1
First-principles (PBE) data for a relaxed structure of Nd2Y6Ho3Zr, as listed in Alexandria.

a = 6.133 Å, b = 6.133 Å, c = 11.724 Å
α = 94.98°, β = 94.98°, γ = 119.93°
Positions (direct):
Nd: 0.167 0.833 0.000
Nd: 0.833 0.167 0.000
Y: 0.091 0.417 0.752
Y: 0.256 0.256 0.247
Y: 0.417 0.091 0.752
Y: 0.583 0.909 0.248
Y: 0.744 0.744 0.753
Y: 0.909 0.583 0.248
Ho: 0.000 0.000 0.500
Ho: 0.334 0.666 0.500
Ho: 0.666 0.334 0.500
Zr: 0.500 0.500 0.000

- Formation energy: 57.0 meV per atom
- Energy: -69.92 eV/cell

Record 2
First-principles (PBE) data for a relaxed structure of PtAu4Br, as listed in Alexandria.

a = 5.538 Å, b = 5.538 Å, c = 5.538 Å
α = 60.00°, β = 60.00°, γ = 60.00°
Positions (direct):
Pt: 0.000 0.000 0.000
Au: 0.124 0.625 0.625
Au: 0.625 0.124 0.625
Au: 0.625 0.625 0.124
Au: 0.625 0.625 0.625
Br: 0.250 0.250 0.250

- Energy: -18.03 eV/cell
- E_form (uncorrected): 0.46 eV/atom

Record 3
First-principles (PBE) data for a relaxed structure of CaMoRhW2, as listed in Alexandria.

a = 4.623 Å, b = 4.623 Å, c = 4.456 Å
α = 90.00°, β = 90.00°, γ = 90.00°
Positions (direct):
Ca: 0.000 0.000 0.000
Mo: 0.500 0.500 0.500
Rh: 0.000 0.000 0.500
W: 0.000 0.500 0.000
W: 0.500 0.000 0.000

- Formation energy: 2755.1 meV per atom
- Energy: -32.31 eV/cell

Record 4
First-principles (PBE) data for a relaxed structure of RuSeN2Cl, as listed in Alexandria.

a = 3.787 Å, b = 3.787 Å, c = 5.509 Å
α = 90.00°, β = 90.00°, γ = 90.00°
Positions (direct):
Ru: 0.000 0.000 0.000
Se: 0.000 0.000 0.500
N: 0.000 0.500 0.000
N: 0.500 0.000 0.000
Cl: 0.500 0.500 0.500

- Energy: -27.25 eV/cell
- Polymorph energy (0 for the lowest one): 0.0 meV/atom
- E_form (uncorrected): 0.80 eV/atom

Record 5
First-principles (PBE) data for a relaxed structure of LaGe2F8, as listed in Alexandria.

a = 5.889 Å, b = 5.889 Å, c = 6.213 Å
α = 97.88°, β = 97.88°, γ = 50.24°
Positions (direct):
La: 0.000 0.000 0.000
Ge: 0.236 0.236 0.632
Ge: 0.764 0.764 0.368
F: 0.087 0.604 0.209
F: 0.092 0.092 0.359
F: 0.391 0.391 0.840
F: 0.396 0.913 0.791
F: 0.604 0.087 0.209
F: 0.609 0.609 0.160
F: 0.908 0.908 0.641
F: 0.913 0.396 0.791

- Energy: -58.92 eV/cell
- E_form (uncorrected): -2.71 eV/atom

What did the fourth record say?
First-principles (PBE) data for a relaxed structure of RuSeN2Cl, as listed in Alexandria.

a = 3.787 Å, b = 3.787 Å, c = 5.509 Å
α = 90.00°, β = 90.00°, γ = 90.00°
Positions (direct):
Ru: 0.000 0.000 0.000
Se: 0.000 0.000 0.500
N: 0.000 0.500 0.000
N: 0.500 0.000 0.000
Cl: 0.500 0.500 0.500

- Energy: -27.25 eV/cell
- Polymorph energy (0 for the lowest one): 0.0 meV/atom
- E_form (uncorrected): 0.80 eV/atom

What is the energy in the second record?
-18.03 eV/cell

Look up the energy of the fourth one.
-27.25 eV/cell

The highest energy belongs to which entry?
PtAu4Br